Compound: TbCe2ScS5
Source: Alexandria via LeMat-Bulk
Functional: GGA-PBE
Structure: optimized geometry Values from VASP.

Values from the calculation:
ΔE_f (raw) ... -1422.2 meV/atom
DOS at the Fermi energy ... 19.11 states/eV/cell
ρ ... 4.33 g/cm³

The structure in Quantum ESPRESSO input format:
```
&SYSTEM
  ibrav = 0, nat = 9, ntyp = 4
/
ATOMIC_SPECIES
S 32.06 S.upf
Sc 44.96 Sc.upf
Tb 158.93 Tb.upf
Ce 140.12 Ce.upf
CELL_PARAMETERS angstrom
-4.015 -2.754 1.044
0.050 -1.829 -4.631
5.900 -7.461 3.011
ATOMIC_POSITIONS angstrom
S -1.983 -2.291 -1.794
S 1.389 -1.757 0.709
S 2.975 -4.645 -0.810
S 4.510 -5.704 2.302
S 0.942 -5.107 2.027
Sc 0.000 0.000 0.000
Tb 2.950 -3.731 1.505
Ce 2.195 -7.574 0.338
Ce -0.260 -4.470 -0.915
```